The following is a SCAN calculation of a crystal of NiMoPt relaxed with PBEsol, from the Alexandria database.

Structure (POSCAR):
```
NiMoPt
1.0
-2.477 0.503 0.923
0.892 -0.245 2.527
1.943 5.310 -1.603
Ni Mo Pt
1 1 1
direct
0.337 0.337 0.674
0.992 0.992 0.985
0.671 0.671 0.341
```

Summary:
Excess energy over the best structure of this formula in the dataset = 85 meV per atom
Volume = 13.4 A^3/atom
Magnetization = 0.0 Bohr magnetons per cell
Energy relative to the elements = -0.20 eV per atom
Space-group type = No. 107